A relaxed PrNd6Sm8 crystal, computed with PBE-GGA.

Cell lengths 8.3999, 8.3999, 8.3999 Å; angles 71.92, 71.92, 71.92 degrees
With the nearest neighbours (Å) after each atom.
Sites, in units of the cell vectors:
Nd 0.6170 0.1713 0.4367  7 Sm 3.51-3.86, 3 Nd 3.69-3.83
Nd 0.1713 0.4367 0.6170  7 Sm 3.51-3.86, 3 Nd 3.69-3.83
Nd 0.5633 0.3830 0.8287  7 Sm 3.51-3.86, 3 Nd 3.69-3.83
Nd 0.3830 0.8287 0.5633  7 Sm 3.51-3.86, 3 Nd 3.69-3.83
Nd 0.4367 0.6170 0.1713  7 Sm 3.51-3.86, 3 Nd 3.69-3.83
Nd 0.8287 0.5633 0.3830  7 Sm 3.51-3.86, 3 Nd 3.69-3.83
Sm 0.1320 0.6279 0.9479  1 Pr 3.10, 1 Sm 3.30
Sm 0.0521 0.8680 0.3721  1 Pr 3.10, 1 Sm 3.30
Sm 0.3721 0.0521 0.8680  1 Pr 3.10, 1 Sm 3.30
Sm 0.9479 0.1320 0.6279  1 Pr 3.10, 1 Sm 3.30
Sm 0.8680 0.3721 0.0521  1 Pr 3.10, 1 Sm 3.30
Sm 0.2377 0.2377 0.2377  6 Sm 3.47-3.62, 6 Nd 3.80-3.86
Sm 0.7623 0.7623 0.7623  6 Sm 3.47-3.62, 6 Nd 3.80-3.86
Sm 0.6279 0.9479 0.1320  1 Pr 3.10, 1 Sm 3.30
Pr 0.0000 0.0000 0.0000  6 Sm 3.10

Properties
The polymorph energy (0 for the lowest one) is 0 meV/atom. As for the total energy: -4.60 eV per atom. The value obtained for the energy of formation is 0.14 eV/atom.